First-principles (PBE-GGA) data for a relaxed structure of LiTbTlCd, as listed in the Alexandria database.

a b c (Å): 5.1154 5.1154 5.1154
angles (deg): 60.00 60.00 60.00
With the nearest neighbours (Å) after each atom.
Element x y z (fractional)
Li (0.0000, 0.0000, 0.0000)  4 Cd 3.13, 4 Tl 3.13
Tb (0.5000, 0.5000, 0.5000)  4 Cd 3.13, 4 Tl 3.13
Tl (0.2500, 0.2500, 0.2500)  4 Tb 3.13, 4 Li 3.13
Cd (0.7500, 0.7500, 0.7500)  4 Tb 3.13, 4 Li 3.13



First-principles (PBE-GGA) data for a relaxed structure of KCaRu, as listed in the Alexandria database.

a b c (Å): 3.4265 3.4265 8.5619
angles (deg): 90.00 90.00 120.00
With the nearest neighbours (Å) after each atom.
Element x y z (fractional)
K (0.0000, 0.0000, 0.0000)  3 Ru 3.22, 6 K 3.43
Ca (0.6667, 0.3333, 0.5255)  3 Ru 2.79
Ru (0.3333, 0.6667, 0.2962)  3 Ca 2.79

As for the offset from the most stable computed form: 113 meV per atom.



First-principles (PBE-GGA) data for a relaxed structure of HfNbCu, as listed in the Alexandria database.

a b c (Å): 3.0093 5.9148 6.2815
angles (deg): 104.21 99.73 95.03
With the nearest neighbours (Å) after each atom.
Element x y z (fractional)
Hf (0.1783, 0.0834, 0.3062)  4 Cu 2.75-3.06, 4 Nb 2.95-3.04, 2 Hf 3.01
Hf (0.8217, 0.9166, 0.6938)  4 Cu 2.75-3.06, 4 Nb 2.95-3.04, 2 Hf 3.01
Nb (0.1069, 0.5818, 0.3248)  4 Cu 2.71-2.91, 3 Nb 2.76-3.01, 3 Hf 2.95-2.99
Nb (0.8931, 0.4182, 0.6752)  4 Cu 2.71-2.91, 3 Nb 2.76-3.01, 3 Hf 2.95-2.99
Cu (0.4982, 0.2703, 0.9930)  3 Cu 2.70-3.01, 4 Nb 2.71-2.91, 3 Hf 2.75-2.84
Cu (0.5018, 0.7297, 0.0070)  3 Cu 2.70-3.01, 4 Nb 2.71-2.91, 3 Hf 2.75-2.84

As for the offset from the most stable computed form: 127 meV per atom.



| no. | DFT formation energy (eV per atom) |
| --- | --- |
| 1 | -0.3125 |
| 2 | 0.8291 |
| 3 | 0.0067 |